! PBE-GGA HfZnOs, relaxed; values from VASP
&SYSTEM
  ibrav = 0, nat = 3, ntyp = 3
/
ATOMIC_SPECIES
Hf 178.49 Hf.upf
Zn 65.41 Zn.upf
Os 190.23 Os.upf
CELL_PARAMETERS angstrom
0.000 3.103 3.103
3.103 0.000 3.103
3.103 3.103 0.000
ATOMIC_POSITIONS crystal
Hf 0.000 0.000 0.000
Zn 0.250 0.250 0.250
Os 0.750 0.750 0.750
! - energy (eV/atom) = -7.040
! - formation enthalpy at 0 K (eV/atom) = 0.44
! - total magnetic moment (μB per cell) = 0.00


! PBE-GGA HfZr2Os, relaxed; values from VASP
&SYSTEM
  ibrav = 0, nat = 4, ntyp = 3
/
ATOMIC_SPECIES
Hf 178.49 Hf.upf
Zr 91.22 Zr.upf
Os 190.23 Os.upf
CELL_PARAMETERS angstrom
0.000 3.375 3.375
3.375 0.000 3.375
3.375 3.375 0.000
ATOMIC_POSITIONS crystal
Hf 0.000 0.000 0.000
Zr 0.250 0.250 0.250
Zr 0.500 0.500 0.500
Os 0.750 0.750 0.750
! - energy (eV/atom) = -9.725
! - formation enthalpy at 0 K (eV/atom) = -0.16
! - total magnetic moment (μB per cell) = 0.02


! PBE-GGA HfZr2Os3, relaxed; values from VASP
&SYSTEM
  ibrav = 0, nat = 6, ntyp = 3
/
ATOMIC_SPECIES
Hf 178.49 Hf.upf
Zr 91.22 Zr.upf
Os 190.23 Os.upf
CELL_PARAMETERS angstrom
3.270 0.000 0.000
0.000 3.270 0.000
0.000 0.000 9.820
ATOMIC_POSITIONS crystal
Hf 0.000 0.000 0.000
Zr 0.000 0.000 0.333
Zr 0.000 0.000 0.667
Os 0.500 0.500 0.164
Os 0.500 0.500 0.500
Os 0.500 0.500 0.836
! - energy (eV/atom) = -10.707
! - formation enthalpy at 0 K (eV/atom) = -0.59
! - total magnetic moment (μB per cell) = 0.02


! PBE-GGA Hf2P, relaxed; values from VASP
&SYSTEM
  ibrav = 0, nat = 6, ntyp = 2
/
ATOMIC_SPECIES
Hf 178.49 Hf.upf
P 30.97 P.upf
CELL_PARAMETERS angstrom
0.000 5.590 5.590
5.590 0.000 5.590
5.590 5.590 0.000
ATOMIC_POSITIONS crystal
Hf 0.000 0.000 0.000
Hf 0.000 0.000 0.500
Hf 0.000 0.500 0.000
Hf 0.500 0.000 0.000
P 0.125 0.125 0.125
P 0.875 0.875 0.875
! - energy (eV/atom) = -6.724
! - total magnetic moment (μB per cell) = 6.05


! PBE-GGA Hf2P, relaxed; values from VASP
&SYSTEM
  ibrav = 0, nat = 36, ntyp = 2
/
ATOMIC_SPECIES
Hf 178.49 Hf.upf
P 30.97 P.upf
CELL_PARAMETERS angstrom
12.268 0.000 0.000
0.000 15.063 0.000
0.000 0.000 3.595
ATOMIC_POSITIONS crystal
Hf 0.026 0.106 0.000
Hf 0.088 0.576 0.000
Hf 0.097 0.746 0.500
Hf 0.117 0.416 0.500
Hf 0.160 0.978 0.500
Hf 0.187 0.209 0.500
Hf 0.313 0.709 0.000
Hf 0.340 0.478 0.000
Hf 0.383 0.916 0.000
Hf 0.403 0.246 0.000
Hf 0.412 0.076 0.500
Hf 0.474 0.606 0.500
Hf 0.526 0.394 0.500
Hf 0.588 0.924 0.500
Hf 0.597 0.754 0.000
Hf 0.617 0.084 0.000
Hf 0.660 0.522 0.000
Hf 0.687 0.291 0.000
Hf 0.813 0.791 0.500
Hf 0.840 0.022 0.500
Hf 0.883 0.584 0.500
Hf 0.903 0.254 0.500
Hf 0.912 0.424 0.000
Hf 0.974 0.894 0.000
P 0.057 0.288 0.000
P 0.187 0.850 0.000
P 0.244 0.591 0.500
P 0.256 0.091 0.000
P 0.313 0.350 0.500
P 0.443 0.788 0.500
P 0.557 0.212 0.500
P 0.687 0.650 0.500
P 0.744 0.909 0.000
P 0.756 0.409 0.500
P 0.813 0.150 0.000
P 0.943 0.712 0.000
! - energy (eV/atom) = -9.445
! - total magnetic moment (μB per cell) = 0.02


! PBE-GGA HfP4, relaxed; values from VASP
&SYSTEM
  ibrav = 0, nat = 10, ntyp = 2
/
ATOMIC_SPECIES
Hf 178.49 Hf.upf
P 30.97 P.upf
CELL_PARAMETERS angstrom
2.748 -5.913 0.000
2.748 5.913 0.000
-2.383 0.000 5.783
ATOMIC_POSITIONS crystal
Hf 0.061 0.939 0.750
Hf 0.939 0.061 0.250
P 0.053 0.508 0.185
P 0.182 0.381 0.683
P 0.381 0.182 0.183
P 0.492 0.947 0.315
P 0.508 0.053 0.685
P 0.619 0.818 0.817
P 0.818 0.619 0.317
P 0.947 0.492 0.815
! - energy (eV/atom) = -6.693
! - total magnetic moment (μB per cell) = 0.01